Entry 1:
{"formula": "MgZnIr", "functional": "PBE-GGA", "state": "relaxed", "lattice": [[-2.488, 2.792, 3.486], [2.488, -2.792, 3.486], [2.488, 2.792, -3.486]], "species": ["Mg", "Mg", "Zn", "Zn", "Ir", "Ir"], "fractional_positions": [[0.388, 0.138, 0.250], [0.612, 0.862, 0.750], [0.000, 0.000, 0.500], [0.000, 0.500, 0.000], [0.000, 0.500, 0.500], [0.500, 0.500, 0.000]], "mass_density_g_cm3": 9.7, "magmom_total_mub_per_cell": 0.00, "dft_energy_ev_per_atom": -4.25, "formation_energy_ev_per_atom": -0.3396, "space_group": "No. 74"}

=====

Entry 2:
{"formula": "Mg2Zn2Ir", "functional": "PBE-GGA", "state": "relaxed", "lattice": [[4.867, -2.457, 0.000], [4.867, 2.457, 0.000], [-2.514, 0.000, 6.693]], "species": ["Mg", "Mg", "Mg", "Mg", "Zn", "Zn", "Zn", "Zn", "Ir", "Ir"], "fractional_positions": [[0.062, 0.331, 0.143], [0.331, 0.062, 0.643], [0.669, 0.938, 0.357], [0.938, 0.669, 0.857], [0.248, 0.589, 0.560], [0.411, 0.752, 0.940], [0.589, 0.248, 0.060], [0.752, 0.411, 0.440], [0.185, 0.815, 0.250], [0.815, 0.185, 0.750]], "mass_density_g_cm3": 7.7, "magmom_total_mub_per_cell": 0.00, "dft_energy_ev_per_atom": -3.19, "formation_energy_ev_per_atom": -0.2720, "space_group": "No. 15"}

=====

Entry 3:
{"formula": "MgZn3Ir", "functional": "PBE-GGA", "state": "relaxed", "lattice": [[4.810, 0.000, 0.000], [0.000, 4.810, 0.000], [0.000, 0.000, 4.810]], "species": ["Mg", "Zn", "Zn", "Zn", "Ir"], "fractional_positions": [[0.000, 0.000, 0.000], [0.000, 0.500, 0.500], [0.500, 0.000, 0.500], [0.500, 0.500, 0.000], [0.500, 0.500, 0.500]], "mass_density_g_cm3": 6.2, "magmom_total_mub_per_cell": 0.00, "dft_energy_ev_per_atom": -2.66, "formation_energy_ev_per_atom": 0.1999, "space_group": "No. 221"}

=====

Entry 4:
{"formula": "MgZnIr", "functional": "PBE-GGA", "state": "relaxed", "lattice": [[0.000, 3.025, 3.025], [3.025, 0.000, 3.025], [3.025, 3.025, 0.000]], "species": ["Mg", "Zn", "Ir"], "fractional_positions": [[0.000, 0.000, 0.000], [0.500, 0.500, 0.500], [0.750, 0.750, 0.750]], "mass_density_g_cm3": 8.5, "magmom_total_mub_per_cell": 0.00, "dft_energy_ev_per_atom": -3.94, "formation_energy_ev_per_atom": -0.0307, "space_group": "No. 216"}

=====

What is the formula in the third record?
MgZn3Ir